## PuV2F8 (PBE+U)

Data for a relaxed structure of PuV2F8.

It has space group C2/m (No. 12), with a = 10.194 Å, b = 7.474 Å, c = 4.299 Å, α = 90.00°, β = 92.09° and γ = 90.00°. The distinct sites, in fractional coordinates, are Pu at (0.000, 0.000, 0.000), V at (0.118, 0.500, 0.257), F at (0.089, 0.500, 0.755), F at (0.102, 0.229, 0.250) and F at (0.184, 0.000, 0.734).

For the total energy, the calculation gives -154.75 eV/cell. The crystal system is monoclinic. For the total magnetic moment, the calculation gives 20.000 μB/cell.